{"formula": "BeRhN3", "functional": "meta-GGA SCAN", "state": "single point on PBEsol structure", "e_tot_ev_per_atom": -11.3138, "rho_g_cm3": 4.691, "e_form_raw_ev_per_fu": 9.43, "dos_at_fermi_per_ev_cell": 3.5, "lattice": [[-0.844, -3.234, -1.789], [1.610, -1.974, 2.808], [-3.327, -0.134, 1.813]], "species": ["Rh", "N", "N", "N", "Be"], "frac_coords": [[0.000, 0.000, 0.000], [0.000, 0.000, 0.500], [0.000, 0.500, 0.000], [0.500, 0.000, 0.000], [0.500, 0.500, 0.500]]}